Record 1
The following is a PBE-GGA calculation of a relaxed TbDy2Tm2 crystal, from Alexandria via LeMat-Bulk.

```
10
Lattice="4.975 0.000 0.000 2.486 5.554 0.000 0.020 -0.002 11.121" Properties=species:S:1:pos:R:3 pbc="T T T"
Tb 1.249 0.001 2.774
Tb 6.232 5.551 8.348
Dy 1.259 2.220 9.458
Dy 1.255 1.114 6.119
Dy 6.226 4.438 5.002
Dy 6.221 3.333 1.663
Tm 3.749 4.441 10.564
Tm 3.744 3.334 7.230
Tm 3.737 2.218 3.891
Tm 3.732 1.111 0.558
```

Results
magnetic moment	0.00	μB per formula unit
E_tot	-4.534	eV/atom
ΔH_f (0 K)	0.021	eV per atom

***

Record 2
The following is a PBE-GGA calculation of a relaxed Tb5Dy3Tm3 crystal, from Alexandria via LeMat-Bulk.

```
11
Lattice="11.034 0.000 0.000 -5.517 9.556 0.000 0.000 0.000 3.415" Properties=species:S:1:pos:R:3 pbc="T T T"
Tb -0.885 1.533 0.000
Tb 1.771 0.000 0.000
Tb 0.000 6.370 0.000
Tb 5.517 3.185 0.000
Tb 4.632 8.022 0.000
Dy -3.632 6.292 0.000
Dy 1.885 3.264 0.000
Dy 7.265 0.000 0.000
Tm -2.243 3.885 1.707
Tm 4.486 0.000 1.707
Tm 3.274 5.671 1.707
```

Results
magnetic moment	0.00	μB per formula unit
E_tot	-4.225	eV/atom
ΔH_f (0 K)	0.355	eV per atom

***

Record 3
The following is a PBE-GGA calculation of a relaxed TbDy2Tm crystal, from Alexandria via LeMat-Bulk.

```
16
Lattice="7.959 0.000 0.000 0.000 7.959 0.000 0.000 0.000 7.959" Properties=species:S:1:pos:R:3 pbc="T T T"
Tb 0.000 0.000 0.000
Tb 0.000 3.980 3.980
Tb 3.980 0.000 3.980
Tb 3.980 3.980 0.000
Dy 1.990 1.990 1.990
Dy 1.990 1.990 5.969
Dy 1.990 5.969 1.990
Dy 1.990 5.969 5.969
Dy 5.969 1.990 1.990
Dy 5.969 1.990 5.969
Dy 5.969 5.969 1.990
Dy 5.969 5.969 5.969
Tm 0.000 0.000 3.980
Tm 0.000 3.980 0.000
Tm 3.980 0.000 0.000
Tm 3.980 3.980 3.980
```

Results
magnetic moment	0.00	μB per formula unit
E_tot	-4.432	eV/atom
ΔH_f (0 K)	0.145	eV per atom

***

Record 4
The following is a PBE-GGA calculation of a relaxed TbDy7Tm2 crystal, from Alexandria via LeMat-Bulk.

```
10
Lattice="4.338 -8.228 0.000 4.338 8.228 0.000 0.000 0.000 5.398" Properties=species:S:1:pos:R:3 pbc="T T T"
Tb 0.000 0.000 0.000
Dy 1.542 1.851 2.699
Dy 4.338 4.843 0.000
Dy 1.542 -1.851 2.699
Dy 4.338 0.000 2.699
Dy 7.134 1.851 2.699
Dy 4.338 -4.843 0.000
Dy 7.134 -1.851 2.699
Tm 4.338 3.336 2.699
Tm 4.338 -3.336 2.699
```

Results
magnetic moment	0.00	μB per formula unit
E_tot	-3.880	eV/atom
ΔH_f (0 K)	0.699	eV per atom

***

Record 5
The following is a PBE-GGA calculation of a relaxed Tb5DyTm2 crystal, from Alexandria via LeMat-Bulk.

```
16
Lattice="6.678 0.000 0.000 2.781 8.713 0.000 2.785 -0.251 8.710" Properties=species:S:1:pos:R:3 pbc="T T T"
Tb 2.564 1.154 4.173
Tb 3.976 4.014 5.633
Tb 4.924 5.187 2.338
Tb 6.335 6.576 5.278
Tb 4.946 0.720 6.724
Tb 7.298 7.742 1.986
Tb 5.909 1.886 3.432
Tb 7.320 3.275 6.372
Tb 8.268 4.448 3.077
Tb 9.679 7.308 4.537
Dy 3.539 2.318 0.891
Dy 8.705 6.144 7.819
Tm 3.951 8.487 1.256
Tm 5.355 5.381 8.523
Tm 6.889 3.080 0.187
Tm 8.293 -0.025 7.454
```

Results
magnetic moment	0.00	μB per formula unit
E_tot	-4.579	eV/atom
ΔH_f (0 K)	0.008	eV per atom

***

Record 6
The following is a PBE-GGA calculation of a relaxed Tb2Dy3Tm5 crystal, from Alexandria via LeMat-Bulk.

```
20
Lattice="5.273 -7.766 0.000 5.273 7.766 0.000 -5.259 0.000 7.745" Properties=species:S:1:pos:R:3 pbc="T T T"
Tb 1.273 1.920 0.370
Tb -1.356 -1.920 4.242
Tb 6.642 1.920 3.503
Tb 4.013 -1.920 7.376
Dy 1.274 1.885 3.495
Dy 3.958 3.557 1.936
Dy -1.355 -1.885 7.368
Dy 6.641 1.885 0.378
Dy 1.328 -3.557 5.809
Dy 4.012 -1.885 4.250
Tm 1.328 7.389 5.809
Tm -1.295 1.821 5.947
Tm 1.328 4.183 5.809
Tm 1.335 -1.821 2.075
Tm 3.958 0.421 1.936
Tm 1.328 -0.421 5.809
Tm 3.951 1.821 5.671
Tm 3.958 -4.183 1.936
Tm 6.581 -1.821 1.798
Tm 3.958 -7.389 1.936
```

Results
magnetic moment	0.00	μB per formula unit
E_tot	-4.341	eV/atom
ΔH_f (0 K)	0.202	eV per atom